Here is an optimized crystal structure of Ti2TlPb from the Alexandria database. Energies are from PBE-GGA.

Crystal system   tetragonal
Distance to the lowest polymorph of the same formula   205 meV per atom
E   -5.1211 eV per atom
Symmetry   I-42d, No. 122
Energy of formation from the pure elements   1.4 eV per formula unit

Lattice parameters (Å, degrees): 7.683 7.683 6.230 51.93 51.93 90.00
Element x y z (fractional)
Pb: 0.000 0.000 0.000
Pb: 0.750 0.250 0.500
Tl: 0.500 0.500 0.000
Tl: 0.250 0.750 0.500
Ti: 0.624 0.125 0.250
Ti: 0.126 0.625 0.250
Ti: 0.375 0.376 0.750
Ti: 0.875 0.874 0.750